# TcHg2Br (PBE-GGA, optimized geometry)
# calculated density	10.19	Mg/m³
# formation energy (no corrections)	0.811	eV/atom
# SG	F-43m, No. 216
# D(E_F)	2.8	states/eV/f.u.
# spin magnetization	3.92	μB/f.u.
data_TcHg2Br
_chemical_formula_sum 'Tc1 Hg2 Br1'
_cell_length_a 5.111
_cell_length_b 5.111
_cell_length_c 5.111
_cell_angle_alpha 60.00
_cell_angle_beta 60.00
_cell_angle_gamma 60.00
_space_group_name_H-M_alt 'P 1'
_space_group_IT_number 1
_space_group_name_Hall 'P 1'
loop_
_atom_site_label
_atom_site_fract_x
_atom_site_fract_y
_atom_site_fract_z
_atom_site_occupancy
Hg1 0.000 0.000 0.000 1
Hg2 0.250 0.250 0.250 1
Br1 0.500 0.500 0.500 1
Tc1 0.750 0.750 0.750 1

---

# TcHg2Br (PBE-GGA, optimized geometry)
# calculated density	10.79	Mg/m³
# formation energy (no corrections)	0.548	eV/atom
# SG	R-3m, No. 166
# D(E_F)	2.7	states/eV/f.u.
# spin magnetization	1.67	μB/f.u.
data_TcHg2Br
_chemical_formula_sum 'Tc1 Hg2 Br1'
_cell_length_a 9.025
_cell_length_b 9.025
_cell_length_c 9.025
_cell_angle_alpha 21.84
_cell_angle_beta 21.84
_cell_angle_gamma 21.84
_space_group_name_H-M_alt 'P 1'
_space_group_IT_number 1
_space_group_name_Hall 'P 1'
loop_
_atom_site_label
_atom_site_fract_x
_atom_site_fract_y
_atom_site_fract_z
_atom_site_occupancy
Hg1 0.995 0.995 0.995 1
Hg2 0.505 0.505 0.505 1
Br1 0.750 0.750 0.750 1
Tc1 0.250 0.250 0.250 1

---

# TcHg2Br (PBE-GGA, optimized geometry)
# calculated density	10.13	Mg/m³
# formation energy (no corrections)	0.448	eV/atom
# SG	Cmm2, No. 35
# D(E_F)	3.8	states/eV/f.u.
# spin magnetization	0.06	μB/f.u.
data_TcHg2Br
_chemical_formula_sum 'Tc1 Hg2 Br1'
_cell_length_a 3.219
_cell_length_b 3.219
_cell_length_c 10.990
_cell_angle_alpha 90.00
_cell_angle_beta 90.00
_cell_angle_gamma 123.48
_space_group_name_H-M_alt 'P 1'
_space_group_IT_number 1
_space_group_name_Hall 'P 1'
loop_
_atom_site_label
_atom_site_fract_x
_atom_site_fract_y
_atom_site_fract_z
_atom_site_occupancy
Hg1 0.000 0.000 0.022 1
Hg2 0.500 0.500 0.289 1
Br1 0.500 0.500 0.683 1
Tc1 0.000 0.000 0.506 1

---

# TcHgBr2 (PBE-GGA, optimized geometry)
# calculated density	6.22	Mg/m³
# formation energy (no corrections)	0.151	eV/atom
# SG	P2/m, No. 10
# D(E_F)	1.9	states/eV/f.u.
# spin magnetization	2.51	μB/f.u.
data_TcHgBr2
_chemical_formula_sum 'Tc1 Hg1 Br2'
_cell_length_a 3.491
_cell_length_b 3.419
_cell_length_c 10.260
_cell_angle_alpha 89.84
_cell_angle_beta 90.00
_cell_angle_gamma 90.00
_space_group_name_H-M_alt 'P 1'
_space_group_IT_number 1
_space_group_name_Hall 'P 1'
loop_
_atom_site_label
_atom_site_fract_x
_atom_site_fract_y
_atom_site_fract_z
_atom_site_occupancy
Hg1 0.500 0.250 0.250 1
Br1 0.000 0.746 0.928 1
Br2 0.000 0.754 0.572 1
Tc1 0.500 0.750 0.750 1

---

# TcHgBr2 (PBE-GGA, optimized geometry)
# calculated density	6.24	Mg/m³
# formation energy (no corrections)	0.076	eV/atom
# SG	Cm, No. 8
# D(E_F)	1.8	states/eV/f.u.
# spin magnetization	1.99	μB/f.u.
data_TcHgBr2
_chemical_formula_sum 'Tc1 Hg1 Br2'
_cell_length_a 5.614
_cell_length_b 5.614
_cell_length_c 7.404
_cell_angle_alpha 68.02
_cell_angle_beta 68.02
_cell_angle_gamma 34.63
_space_group_name_H-M_alt 'P 1'
_space_group_IT_number 1
_space_group_name_Hall 'P 1'
loop_
_atom_site_label
_atom_site_fract_x
_atom_site_fract_y
_atom_site_fract_z
_atom_site_occupancy
Hg1 0.562 0.562 0.375 1
Br1 0.897 0.897 0.092 1
Br2 0.744 0.744 0.658 1
Tc1 0.297 0.297 0.375 1

---

# ZnTcHgBr2 (PBE-GGA, optimized geometry)
# calculated density	4.92	Mg/m³
# formation energy (no corrections)	0.947	eV/atom
# SG	P4/mmm, No. 123
# D(E_F)	1.7	states/eV/f.u.
# spin magnetization	4.89	μB/f.u.
data_ZnTcHgBr2
_chemical_formula_sum 'Zn1 Tc1 Hg1 Br2'
_cell_length_a 5.626
_cell_length_b 5.626
_cell_length_c 5.584
_cell_angle_alpha 90.00
_cell_angle_beta 90.00
_cell_angle_gamma 90.00
_space_group_name_H-M_alt 'P 1'
_space_group_IT_number 1
_space_group_name_Hall 'P 1'
loop_
_atom_site_label
_atom_site_fract_x
_atom_site_fract_y
_atom_site_fract_z
_atom_site_occupancy
Zn1 0.500 0.500 0.500 1
Hg1 0.000 0.000 0.000 1
Br1 0.000 0.500 0.000 1
Br2 0.500 0.000 0.000 1
Tc1 0.000 0.000 0.500 1

---

# HgTeBr4 (PBE-GGA, optimized geometry)
# calculated density	5.78	Mg/m³
# formation energy (no corrections)	0.606	eV/atom
# SG	F-43m, No. 216
# D(E_F)	7.3	states/eV/f.u.
# spin magnetization	1.62	μB/f.u.
data_HgTeBr4
_chemical_formula_sum 'Hg1 Te1 Br4'
_cell_length_a 6.409
_cell_length_b 6.409
_cell_length_c 6.409
_cell_angle_alpha 60.00
_cell_angle_beta 60.00
_cell_angle_gamma 60.00
_space_group_name_H-M_alt 'P 1'
_space_group_IT_number 1
_space_group_name_Hall 'P 1'
loop_
_atom_site_label
_atom_site_fract_x
_atom_site_fract_y
_atom_site_fract_z
_atom_site_occupancy
Hg1 0.750 0.750 0.750 1
Te1 0.000 0.000 0.000 1
Br1 0.877 0.374 0.374 1
Br2 0.374 0.374 0.877 1
Br3 0.374 0.877 0.374 1
Br4 0.374 0.374 0.374 1

---

# Hg2TeBr8 (PBE-GGA, optimized geometry)
# calculated density	4.30	Mg/m³
# formation energy (no corrections)	-0.347	eV/atom
# SG	C2/m, No. 12
# D(E_F)	0.0	states/eV/f.u.
# spin magnetization	0.00	μB/f.u.
data_Hg2TeBr8
_chemical_formula_sum 'Hg2 Te1 Br8'
_cell_length_a 6.854
_cell_length_b 8.757
_cell_length_c 8.757
_cell_angle_alpha 59.22
_cell_angle_beta 91.32
_cell_angle_gamma 91.32
_space_group_name_H-M_alt 'P 1'
_space_group_IT_number 1
_space_group_name_Hall 'P 1'
loop_
_atom_site_label
_atom_site_fract_x
_atom_site_fract_y
_atom_site_fract_z
_atom_site_occupancy
Hg1 0.637 0.186 0.186 1
Hg2 0.363 0.814 0.814 1
Te1 0.000 0.000 0.000 1
Br1 0.240 0.151 0.707 1
Br2 0.240 0.707 0.151 1
Br3 0.760 0.849 0.293 1
Br4 0.381 0.650 0.650 1
Br5 0.760 0.293 0.849 1
Br6 0.211 0.155 0.155 1
Br7 0.789 0.845 0.845 1
Br8 0.619 0.350 0.350 1

---

# Hg4Te2Br5 (PBE-GGA, optimized geometry)
# calculated density	5.68	Mg/m³
# formation energy (no corrections)	-0.292	eV/atom
# SG	P-1, No. 2
# D(E_F)	2.2	states/eV/f.u.
# spin magnetization	0.00	μB/f.u.
data_Hg4Te2Br5
_chemical_formula_sum 'Hg4 Te2 Br5'
_cell_length_a 6.508
_cell_length_b 9.665
_cell_length_c 8.641
_cell_angle_alpha 106.17
_cell_angle_beta 113.98
_cell_angle_gamma 59.47
_space_group_name_H-M_alt 'P 1'
_space_group_IT_number 1
_space_group_name_Hall 'P 1'
loop_
_atom_site_label
_atom_site_fract_x
_atom_site_fract_y
_atom_site_fract_z
_atom_site_occupancy
Hg1 0.816 0.643 0.315 1
Hg2 0.037 0.881 0.086 1
Hg3 0.184 0.357 0.685 1
Hg4 0.963 0.119 0.914 1
Te1 0.495 0.643 0.989 1
Te2 0.505 0.357 0.011 1
Br1 0.150 0.762 0.372 1
Br2 0.850 0.238 0.628 1
Br3 0.165 0.303 0.362 1
Br4 0.500 0.000 0.000 1
Br5 0.835 0.697 0.638 1

---

# Hg4Te3Br (PBE-GGA, optimized geometry)
# calculated density	6.65	Mg/m³
# formation energy (no corrections)	-0.110	eV/atom
# SG	P1, No. 1
# D(E_F)	1.5	states/eV/f.u.
# spin magnetization	0.00	μB/f.u.
data_Hg4Te3Br
_chemical_formula_sum 'Hg4 Te3 Br1'
_cell_length_a 5.833
_cell_length_b 8.104
_cell_length_c 9.146
_cell_angle_alpha 65.95
_cell_angle_beta 56.52
_cell_angle_gamma 89.34
_space_group_name_H-M_alt 'P 1'
_space_group_IT_number 1
_space_group_name_Hall 'P 1'
loop_
_atom_site_label
_atom_site_fract_x
_atom_site_fract_y
_atom_site_fract_z
_atom_site_occupancy
Te1 0.749 0.704 0.781 1
Te2 0.073 0.152 0.877 1
Te3 0.112 0.009 0.192 1
Hg1 0.471 0.173 0.420 1
Hg2 0.275 0.716 0.752 1
Hg3 0.570 0.312 0.028 1
Hg4 0.583 0.840 0.055 1
Br1 0.516 0.595 0.395 1

---

# Hg2TeBr3 (PBE-GGA, optimized geometry)
# calculated density	6.06	Mg/m³
# formation energy (no corrections)	-0.380	eV/atom
# SG	P2_1/c, No. 14
# D(E_F)	0.0	states/eV/f.u.
# spin magnetization	0.00	μB/f.u.
data_Hg2TeBr3
_chemical_formula_sum 'Hg8 Te4 Br12'
_cell_length_a 10.208
_cell_length_b 7.848
_cell_length_c 10.557
_cell_angle_alpha 85.10
_cell_angle_beta 90.00
_cell_angle_gamma 90.00
_space_group_name_H-M_alt 'P 1'
_space_group_IT_number 1
_space_group_name_Hall 'P 1'
loop_
_atom_site_label
_atom_site_fract_x
_atom_site_fract_y
_atom_site_fract_z
_atom_site_occupancy
Br1 0.010 0.757 0.977 1
Br2 0.510 0.743 0.523 1
Br3 0.990 0.243 0.023 1
Br4 0.490 0.257 0.477 1
Br5 0.245 0.961 0.266 1
Br6 0.745 0.539 0.234 1
Br7 0.755 0.039 0.734 1
Br8 0.255 0.461 0.766 1
Br9 0.650 0.484 0.872 1
Br10 0.150 0.016 0.628 1
Br11 0.350 0.516 0.128 1
Br12 0.850 0.984 0.372 1
Hg1 0.188 0.029 0.003 1
Hg2 0.688 0.471 0.498 1
Hg3 0.812 0.971 0.997 1
Hg4 0.312 0.529 0.502 1
Hg5 0.425 0.666 0.869 1
Hg6 0.924 0.834 0.631 1
Hg7 0.575 0.334 0.131 1
Hg8 0.076 0.166 0.369 1
Te1 0.428 0.015 0.885 1
Te2 0.928 0.485 0.615 1
Te3 0.572 0.985 0.115 1
Te4 0.072 0.515 0.385 1

---

# HgTe2Br2 (PBE-GGA, optimized geometry)
# calculated density	6.57	Mg/m³
# formation energy (no corrections)	0.056	eV/atom
# SG	P4/mbm, No. 127
# D(E_F)	2.3	states/eV/f.u.
# spin magnetization	0.00	μB/f.u.
data_HgTe2Br2
_chemical_formula_sum 'Hg2 Te4 Br4'
_cell_length_a 7.813
_cell_length_b 7.813
_cell_length_c 5.097
_cell_angle_alpha 90.00
_cell_angle_beta 90.00
_cell_angle_gamma 90.00
_space_group_name_H-M_alt 'P 1'
_space_group_IT_number 1
_space_group_name_Hall 'P 1'
loop_
_atom_site_label
_atom_site_fract_x
_atom_site_fract_y
_atom_site_fract_z
_atom_site_occupancy
Te1 0.374 0.874 0.000 1
Te2 0.874 0.626 0.000 1
Te3 0.626 0.126 0.000 1
Te4 0.126 0.374 0.000 1
Hg1 0.000 0.000 0.000 1
Hg2 0.500 0.500 0.000 1
Br1 0.211 0.711 0.500 1
Br2 0.711 0.789 0.500 1
Br3 0.789 0.289 0.500 1
Br4 0.289 0.211 0.500 1